[1]
The following is a DFT calculation (PBE) of a relaxed Sr3P5 crystal.

electronic total energy	-4.286	eV per atom
DOS(E_F)	0.494	states/eV per atom

Cell and atoms, written as POSCAR:
```
Sr3P5
1.0
4.1108 -4.8934 0.0000
4.1108 4.8934 0.0000
0.0000 0.0000 4.5443
Sr P
3 5
Cartesian
4.1108 0.0000 0.0000
4.1108 -2.7371 2.2721
4.1108 2.7371 2.2721
0.0000 0.0000 0.0000
2.0554 2.4467 0.0000
2.0554 -2.4467 0.0000
2.0361 0.0000 2.2721
6.1855 0.0000 2.2721
```



[2]
The following is a DFT calculation (PBE) of a relaxed SrP crystal.

electronic total energy	-4.265	eV per atom
DOS(E_F)	0.871	states/eV per atom

Cell and atoms, written as POSCAR:
```
SrP
1.0
-1.2331 -0.5083 3.6615
-2.6158 -2.6074 -1.2429
2.2418 -2.4469 0.4153
Sr P
1 1
Cartesian
-1.9244 -1.5579 1.2093
1.1209 -1.2235 0.2077
```



[3]
The following is a DFT calculation (PBE) of a relaxed SrP3 crystal.

electronic total energy	-4.591	eV per atom
DOS(E_F)	0.760	states/eV per atom

Cell and atoms, written as POSCAR:
```
SrP3
1.0
-0.8926 -6.6400 3.0305
2.3847 -6.8191 1.3723
2.0859 -5.2642 4.6912
P Sr
3 1
Cartesian
2.7607 -14.4462 7.0166
1.7890 -9.3617 4.5470
0.8174 -4.2773 2.0775
0.0000 0.0000 0.0000
```



[4]
The following is a DFT calculation (PBE) of a relaxed SrP3 crystal.

electronic total energy	-4.760	eV per atom
DOS(E_F)	0.358	states/eV per atom

Cell and atoms, written as POSCAR:
```
SrP3
1.0
-3.0396 0.9073 -2.8542
-2.7657 -2.3323 2.2039
-1.2878 4.0260 2.6513
P Sr
3 1
Cartesian
-3.3365 2.1897 4.2492
-4.5600 1.7240 2.2143
-2.7438 0.3509 3.0336
-2.5332 0.8771 -0.2133
```



[5]
The following is a DFT calculation (PBE) of a relaxed SrP4 crystal.

electronic total energy	-4.763	eV per atom
ΔE to the lowest computed polymorph	369	meV per atom
DOS(E_F)	0.478	states/eV per atom

Cell and atoms, written as POSCAR:
```
SrP4
1.0
-3.4914 3.4914 2.1483
3.4914 -3.4914 2.1483
3.4914 3.4914 -2.1483
Sr P
1 4
Cartesian
0.0000 0.0000 0.0000
-0.5082 2.5226 2.1483
0.9688 2.9832 0.0000
3.9995 0.9688 0.0000
2.5226 0.5082 2.1483
```



[6]
The following is a DFT calculation (PBE) of a relaxed SrP crystal.

electronic total energy	-4.188	eV per atom
DOS(E_F)	0.873	states/eV per atom

Cell and atoms, written as POSCAR:
```
SrP
1.0
10.2026 0.0000 0.0000
0.0000 10.2026 0.0000
0.0000 0.0000 6.0907
Sr P
8 8
Cartesian
3.8853 8.9866 3.0454
8.9866 6.3173 3.0454
1.2160 3.8853 3.0454
6.3173 1.2160 3.0454
8.2025 3.1012 0.0000
3.1012 2.0001 0.0000
7.1014 8.2025 0.0000
2.0001 7.1014 0.0000
8.4007 3.2994 3.0454
3.2994 1.8019 3.0454
6.9032 8.4007 3.0454
1.8019 6.9032 3.0454
4.3341 9.4354 0.0000
9.4354 5.8685 0.0000
0.7672 4.3341 0.0000
5.8685 0.7672 0.0000
```



[7]
The following is a DFT calculation (PBE) of a relaxed SrP2 crystal.

electronic total energy	-3.927	eV per atom
DOS(E_F)	0.947	states/eV per atom

Cell and atoms, written as POSCAR:
```
SrP2
1.0
4.8793 0.0000 0.0000
2.4397 4.2256 0.0000
2.4397 1.4085 3.9840
P Sr
2 1
Cartesian
7.3190 4.2256 2.9880
2.4397 1.4085 0.9960
0.0000 0.0000 0.0000
```



[8]
The following is a DFT calculation (PBE) of a relaxed SrP crystal.

electronic total energy	-3.733	eV per atom
DOS(E_F)	1.066	states/eV per atom

Cell and atoms, written as POSCAR:
```
SrP
1.0
8.8729 0.0000 0.0000
0.0000 8.8729 0.0000
0.0000 0.0000 8.8729
Sr P
8 8
Cartesian
2.6890 2.6890 2.6890
2.6890 6.1839 6.1839
6.1839 2.6890 6.1839
6.1839 6.1839 2.6890
7.1254 7.1254 7.1254
7.1254 1.7474 1.7474
1.7474 7.1254 1.7474
1.7474 1.7474 7.1254
1.0093 1.0093 1.0093
1.0093 7.8636 7.8636
7.8636 1.0093 7.8636
7.8636 7.8636 1.0093
5.4457 5.4457 5.4457
5.4457 3.4271 3.4271
3.4271 5.4457 3.4271
3.4271 3.4271 5.4457
```



Question: Which formula does entry 6 have?
Answer: SrP